1.
Compound: ScTiSe3
Source: Alexandria
Functional: PBE
Structure: optimized geometry

```
data_ScTiSe3
_cell_length_a 5.067
_cell_length_b 5.067
_cell_length_c 5.067
_cell_angle_alpha 90.00
_cell_angle_beta 90.00
_cell_angle_gamma 90.00
_symmetry_space_group_name_H-M 'P 1'
_symmetry_Int_Tables_number 1
_symmetry_space_group_name_Hall 'P 1'
loop_
_atom_site_label
_atom_site_type_symbol
_atom_site_fract_x
_atom_site_fract_y
_atom_site_fract_z
Sc1 Sc 0.000 0.000 0.000
Ti1 Ti 0.500 0.500 0.500
Se1 Se 0.000 0.000 0.500
Se2 Se 0.000 0.500 0.000
Se3 Se 0.500 0.000 0.000
```

- Symmetry: Pm-3m, No. 221
- Crystal system: cubic
- Energy relative to the lowest polymorph listed for this composition: 106.0 kJ/mol of atoms

2.
Compound: ScTi3Se6
Source: Alexandria
Functional: PBE
Structure: optimized geometry

```
data_ScTi3Se6
_cell_length_a 10.722
_cell_length_b 3.670
_cell_length_c 10.980
_cell_angle_alpha 90.00
_cell_angle_beta 109.49
_cell_angle_gamma 90.00
_symmetry_space_group_name_H-M 'P 1'
_symmetry_Int_Tables_number 1
_symmetry_space_group_name_Hall 'P 1'
loop_
_atom_site_label
_atom_site_type_symbol
_atom_site_fract_x
_atom_site_fract_y
_atom_site_fract_z
Sc1 Sc 0.048 0.250 0.198
Sc2 Sc 0.952 0.750 0.802
Ti1 Ti 0.136 0.250 0.573
Ti2 Ti 0.316 0.750 0.992
Ti3 Ti 0.443 0.250 0.355
Ti4 Ti 0.557 0.750 0.645
Ti5 Ti 0.684 0.250 0.008
Ti6 Ti 0.864 0.750 0.427
Se1 Se 0.090 0.750 0.400
Se2 Se 0.118 0.250 0.970
Se3 Se 0.195 0.750 0.747
Se4 Se 0.271 0.750 0.223
Se5 Se 0.381 0.250 0.563
Se6 Se 0.480 0.250 0.118
Se7 Se 0.520 0.750 0.882
Se8 Se 0.619 0.750 0.437
Se9 Se 0.729 0.250 0.777
Se10 Se 0.805 0.250 0.253
Se11 Se 0.882 0.750 0.030
Se12 Se 0.910 0.250 0.600
```

- Symmetry: P2_1/m, No. 11
- Crystal system: monoclinic

3.
Compound: ScTiSe2
Source: Alexandria
Functional: PBE
Structure: optimized geometry

```
data_ScTiSe2
_cell_length_a 7.331
_cell_length_b 7.331
_cell_length_c 7.331
_cell_angle_alpha 132.63
_cell_angle_beta 132.63
_cell_angle_gamma 69.23
_symmetry_space_group_name_H-M 'P 1'
_symmetry_Int_Tables_number 1
_symmetry_space_group_name_Hall 'P 1'
loop_
_atom_site_label
_atom_site_type_symbol
_atom_site_fract_x
_atom_site_fract_y
_atom_site_fract_z
Sc1 Sc 0.000 0.000 0.000
Sc2 Sc 0.750 0.250 0.500
Ti1 Ti 0.250 0.750 0.500
Ti2 Ti 0.500 0.500 0.000
Se1 Se 0.139 0.625 0.014
Se2 Se 0.375 0.389 0.514
Se3 Se 0.611 0.125 0.986
Se4 Se 0.875 0.861 0.486
```

- Symmetry: I-42d, No. 122
- Crystal system: tetragonal
- Energy relative to the lowest polymorph listed for this composition: 29.3 kJ/mol of atoms

Formation energy without anion corrections
In order: -0.264, -1.185, -0.940
Unit: eV per atom
Density
In order: 4208, 5400, 3980
Unit: kg/m3
Uncorrected energy
In order: -5.200, -6.278, -6.239
Unit: eV/atom